Ti5Fe11O24: relaxed, GGA+U.

Output
Density, kg/m3: 5010
Total DFT energy (no corrections), eV/atom: -7.24

Unit cell a=7.4275 b=7.4784 c=8.7576 alpha=66.88 beta=66.99 gamma=85.44
Space group P1 (No. 1)
Unique sites:
1 Ti 0.0000 0.0000 0.0000 (multiplicity 1)
2 Ti 0.0598 0.0691 0.3003 (multiplicity 1)
3 Ti 0.2506 0.7490 0.5187 (multiplicity 1)
4 Ti 0.5037 0.5067 0.0081 (multiplicity 1)
5 Ti 0.7431 0.2584 0.5132 (multiplicity 1)
6 Fe 0.9997 0.5101 0.0077 (multiplicity 1)
7 Fe 0.0595 0.5713 0.3029 (multiplicity 1)
8 Fe 0.2451 0.2481 0.5165 (multiplicity 1)
9 Fe 0.2991 0.3032 0.8106 (multiplicity 1)
10 Fe 0.3008 0.8006 0.8109 (multiplicity 1)
11 Fe 0.5028 0.0080 0.0049 (multiplicity 1)
12 Fe 0.5486 0.5576 0.3057 (multiplicity 1)
13 Fe 0.5601 0.0629 0.3064 (multiplicity 1)
14 Fe 0.7436 0.7454 0.5134 (multiplicity 1)
15 Fe 0.7949 0.3018 0.8157 (multiplicity 1)
16 Fe 0.7991 0.8057 0.8059 (multiplicity 1)
17 O 0.0008 0.8059 0.9140 (multiplicity 1)
18 O 0.0489 0.2454 0.4056 (multiplicity 1)
19 O 0.0600 0.2266 0.7699 (multiplicity 1)
20 O 0.0678 0.2361 0.0693 (multiplicity 1)
21 O 0.2174 0.5822 0.7596 (multiplicity 1)
22 O 0.2358 0.5787 0.0473 (multiplicity 1)
23 O 0.2605 0.5748 0.4069 (multiplicity 1)
24 O 0.3024 0.9955 0.9140 (multiplicity 1)
25 O 0.3158 0.9863 0.2506 (multiplicity 1)
26 O 0.3262 0.9654 0.5688 (multiplicity 1)
27 O 0.4807 0.3521 0.2412 (multiplicity 1)
28 O 0.4896 0.3327 0.5519 (multiplicity 1)
29 O 0.5018 0.3087 0.9163 (multiplicity 1)
30 O 0.5521 0.7399 0.4120 (multiplicity 1)
31 O 0.5663 0.7374 0.0626 (multiplicity 1)
32 O 0.5708 0.7292 0.7550 (multiplicity 1)
33 O 0.7212 0.0891 0.7545 (multiplicity 1)
34 O 0.7314 0.0758 0.0530 (multiplicity 1)
35 O 0.7552 0.0622 0.4246 (multiplicity 1)
36 O 0.8040 0.4981 0.9128 (multiplicity 1)
37 O 0.8197 0.4758 0.5718 (multiplicity 1)
38 O 0.8212 0.4848 0.2512 (multiplicity 1)
39 O 0.9653 0.8552 0.2457 (multiplicity 1)
40 O 0.9927 0.8251 0.5499 (multiplicity 1)